# GGA+U Li4Mn3FeB4O12, optimized geometry
# N(E_F)   0.000 states/eV/atom
# Size of the total moment   18.9 μB/f.u.
# Offset from the most stable computed form   1 meV per atom
data_Li4Mn3FeB4O12
_symmetry_space_group_name_H-M 'P 1'
_symmetry_Int_Tables_number 1
_symmetry_space_group_name_Hall 'P 1'
_cell_length_a 5.246
_cell_length_b 6.011
_cell_length_c 8.255
_cell_angle_alpha 103.08
_cell_angle_beta 90.73
_cell_angle_gamma 90.88
loop_
_atom_site_label
_atom_site_type_symbol
_atom_site_fract_x
_atom_site_fract_y
_atom_site_fract_z
Li1 Li 0.000 0.000 0.000
Li2 Li 0.189 0.590 0.942
Li3 Li 0.500 0.503 0.497
Li4 Li 0.692 0.093 0.438
Mn1 Mn 0.018 0.729 0.637
Mn2 Mn 0.517 0.230 0.139
Mn3 Mn 0.672 0.364 0.797
Fe1 Fe 0.182 0.868 0.301
B1 B 0.020 0.382 0.313
B2 B 0.172 0.213 0.621
B3 B 0.518 0.878 0.815
B4 B 0.673 0.713 0.125
O1 O 0.023 0.031 0.528
O2 O 0.056 0.386 0.736
O3 O 0.135 0.206 0.200
O4 O 0.170 0.564 0.404
O5 O 0.259 0.869 0.842
O6 O 0.431 0.221 0.593
O7 O 0.525 0.532 0.031
O8 O 0.551 0.887 0.238
O9 O 0.635 0.703 0.702
O10 O 0.668 0.060 0.906
O11 O 0.761 0.372 0.342
O12 O 0.932 0.726 0.102

# GGA+U Li4MnFe2B4O12, optimized geometry
# N(E_F)   0.000 states/eV/atom
# Size of the total moment   1.0 μB/f.u.
# Final energy   -317.77 eV per cell
data_Li4MnFe2B4O12
_symmetry_space_group_name_H-M 'P 1 c 1'
_symmetry_Int_Tables_number 7
_symmetry_space_group_name_Hall 'P -2yc'
_cell_length_a 5.264
_cell_length_b 8.665
_cell_length_c 10.972
_cell_angle_alpha 90.00
_cell_angle_beta 117.25
_cell_angle_gamma 90.00
loop_
_atom_site_label
_atom_site_type_symbol
_atom_site_fract_x
_atom_site_fract_y
_atom_site_fract_z
Li1 Li 0.000 0.110 0.000
Li2 Li 0.364 0.293 0.206
Li3 Li 0.871 0.367 0.224
Li4 Li 0.895 0.193 0.462
Mn1 Mn 0.935 0.305 0.748
Fe1 Fe 0.411 0.465 0.500
Fe2 Fe 0.448 0.039 0.753
B1 B 0.406 0.410 0.759
B2 B 0.488 0.109 0.504
B3 B 0.899 0.069 0.245
B4 B 0.965 0.460 0.997
O1 O 0.047 0.395 0.476
O2 O 0.120 0.107 0.214
O3 O 0.153 0.345 0.996
O4 O 0.250 0.480 0.292
O5 O 0.285 0.063 0.544
O6 O 0.343 0.257 0.764
O7 O 0.594 0.260 0.521
O8 O 0.594 0.464 0.712
O9 O 0.617 0.006 0.452
O10 O 0.708 0.175 0.248
O11 O 0.745 0.424 0.024
O12 O 0.853 0.081 0.779

Question: Among the records above, which one has the highest size of the total moment?
Answer: Li4Mn3FeB4O12

Question: Among the records above, which one has the highest size of the total moment?
Answer: Li4Mn3FeB4O12